Record 1
Hf2Sb2Te | PBE-GGA | relaxed

Output
Energy above the lowest structure with this stoichiometry, eV per atom: 0.345
E_tot, eV per cell: -63.71

Lattice parameters (Å, degrees): 4.2432 4.2432 14.2820 90.00 90.00 90.00
Fractional positions:
Hf1 0.0000 0.0000 0.1057
Hf2 0.0000 0.0000 0.8943
Hf3 0.5000 0.5000 0.3943
Hf4 0.5000 0.5000 0.6057
Sb1 0.0000 0.5000 0.2500
Sb2 0.0000 0.5000 0.7500
Sb3 0.5000 0.0000 0.2500
Sb4 0.5000 0.0000 0.7500
Te1 0.0000 0.0000 0.5000
Te2 0.5000 0.5000 0.0000



Record 2
MoRhSe2 | PBE-GGA | relaxed

Output
Energy above the lowest structure with this stoichiometry, eV per atom: 0.126
E_tot, eV per cell: -50.70

Lattice parameters (Å, degrees): 3.3547 3.4827 12.5969 90.00 90.00 90.00
Fractional positions:
Mo1 0.0000 0.0000 0.0000
Mo2 0.5000 0.5000 0.5000
Rh1 0.0000 0.5000 0.6830
Rh2 0.5000 0.0000 0.1830
Se1 0.0000 0.0000 0.4024
Se2 0.0000 0.5000 0.1509
Se3 0.5000 0.0000 0.6509
Se4 0.5000 0.5000 0.9024



- Among the records above, which one has the lowest E_tot?
  Hf2Sb2Te



- Which of these has the lowest E_tot?
  Hf2Sb2Te



- What is the formula in the first record?
  Hf2Sb2Te